NdEr3O: optimized geometry, PBE-GGA.

Calculated values
Final energy, eV/f.u.: -28.7

Structure (POSCAR):
```
NdEr3O
1.0
-0.663 4.813 -0.848
-3.719 0.059 3.238
3.170 1.075 3.622
Er O Nd
3 1 1
direct
0.500 0.000 0.000
0.000 0.500 0.000
0.000 0.000 0.500
0.000 0.000 0.000
0.500 0.500 0.500
```